--- one ---
# Na3GaRh

A relaxed structure of Na3GaRh (PBE, Alexandria).

Lattice parameters (Å, degrees): 5.320 5.320 5.320 90.00 90.00 90.00
Element x y z (fractional)
Rh: 0.000 0.000 0.000
Ga: 0.500 0.500 0.500
Na: 0.000 0.500 0.000
Na: 0.500 0.000 0.000
Na: 0.000 0.000 0.500

Summary:
Mass density, g/cm³: 2.7
Total magnetization, μB per formula unit: 0.00

---

--- two ---
# Na3GaRh

A relaxed structure of Na3GaRh (PBE, Alexandria).

Lattice parameters (Å, degrees): 5.325 5.325 5.325 90.00 90.00 90.00
Each line ends with the local moment (μB).
Element x y z (fractional)
Ga: 0.000 0.000 0.000  0.01
Na: 0.500 0.000 0.000  0.00
Rh: 0.500 0.500 0.500  0.70
Na: 0.000 0.500 0.000  0.00
Na: 0.000 0.000 0.500  -0.01

Summary:
Mass density, g/cm³: 2.7
Total magnetization, μB per formula unit: 0.72

---

Sorted by energy, starting with the most stable: one, two.

---

--- one ---
# NaSr2GaRh

A relaxed structure of NaSr2GaRh (PBE, Alexandria).

Lattice parameters (Å, degrees): 5.674 5.409 5.674 90.00 90.00 90.00
Element x y z (fractional)
Rh: 0.000 0.000 0.000
Sr: 0.000 0.000 0.500
Sr: 0.500 0.000 0.000
Na: 0.000 0.500 0.000
Ga: 0.500 0.500 0.500

Summary:
Mass density, g/cm³: 3.5
Total magnetization, μB per formula unit: 0.00

---

--- two ---
# NaSr2GaRh

A relaxed structure of NaSr2GaRh (PBE, Alexandria).

Lattice parameters (Å, degrees): 5.861 5.861 4.897 90.00 90.00 90.00
Element x y z (fractional)
Sr: 0.000 0.500 0.000
Ga: 0.000 0.000 0.500
Sr: 0.500 0.000 0.000
Na: 0.500 0.500 0.500
Rh: 0.000 0.000 0.000

Summary:
Mass density, g/cm³: 3.7
Total magnetization, μB per formula unit: 0.00

---

Sorted by energy, starting with the most stable: two, one.

---

--- one ---
# NaGaS3

A relaxed structure of NaGaS3 (PBE, Alexandria).

Lattice parameters (Å, degrees): 5.109 5.109 5.109 90.00 90.00 90.00
Each line ends with the local moment (μB).
Element x y z (fractional)
S: 0.000 0.000 0.500  0.80
Ga: 0.500 0.500 0.500  0.02
Na: 0.000 0.000 0.000  0.01
S: 0.000 0.500 0.000  0.93
S: 0.500 0.000 0.000  0.76

Summary:
Mass density, g/cm³: 2.4
Total magnetization, μB per formula unit: 4.00

---

--- two ---
# NaGaS3

A relaxed structure of NaGaS3 (PBE, Alexandria).

Lattice parameters (Å, degrees): 4.790 4.790 4.790 90.00 90.00 90.00
Element x y z (fractional)
S: 0.000 0.000 0.500
S: 0.000 0.500 0.000
Ga: 0.000 0.000 0.000
Na: 0.500 0.500 0.500
S: 0.500 0.000 0.000

Summary:
Mass density, g/cm³: 2.9
Total magnetization, μB per formula unit: 0.00

---

--- three ---
# NaGaS3

A relaxed structure of NaGaS3 (PBE, Alexandria).

Lattice parameters (Å, degrees): 4.973 6.612 7.680 90.00 107.10 90.00
Element x y z (fractional)
Na: 0.279 0.463 0.684
S: 0.157 0.863 0.125
S: 0.183 0.047 0.644
S: 0.817 0.547 0.356
Ga: 0.936 0.021 0.861
Ga: 0.064 0.521 0.139
S: 0.474 0.357 0.315
Na: 0.721 0.963 0.316
S: 0.843 0.363 0.875
S: 0.526 0.857 0.685

Summary:
Mass density, g/cm³: 2.6
Total magnetization, μB per formula unit: 0.00

---

Sorted by energy, starting with the most stable: three, two, one.

---

--- one ---
# NaGa3S

A relaxed structure of NaGa3S (PBE, Alexandria).

Lattice parameters (Å, degrees): 5.212 5.212 5.212 90.00 90.00 90.00
Element x y z (fractional)
Ga: 0.500 0.000 0.000
Ga: 0.000 0.000 0.500
Na: 0.000 0.000 0.000
Ga: 0.000 0.500 0.000
S: 0.500 0.500 0.500

Summary:
Mass density, g/cm³: 3.1
Total magnetization, μB per formula unit: 0.00

---

--- two ---
# NaGa3S

A relaxed structure of NaGa3S (PBE, Alexandria).

Lattice parameters (Å, degrees): 5.156 5.156 5.156 90.00 90.00 90.00
Element x y z (fractional)
Ga: 0.000 0.000 0.500
Ga: 0.500 0.000 0.000
Ga: 0.000 0.500 0.000
S: 0.000 0.000 0.000
Na: 0.500 0.500 0.500

Summary:
Mass density, g/cm³: 3.2
Total magnetization, μB per formula unit: 0.00

---

Sorted by energy, starting with the most stable: two, one.